The following is a DFT calculation (GGA-PBE) of Pm2GaTe6Pb3 after structural relaxation.

Unit cell a=10.2306 b=10.2306 c=9.2797 alpha=103.76 beta=103.76 gamma=25.51
Fractional coordinates of all 12 atoms:
Pm 0.1673 0.1673 0.3458
Pm 0.8327 0.8327 0.6542
Ga 0.5000 0.5000 0.0000
Te 0.0054 0.0054 0.2465
Te 0.3307 0.3307 0.4099
Te 0.3316 0.3316 0.8982
Te 0.6684 0.6684 0.1018
Te 0.6693 0.6693 0.5901
Te 0.9946 0.9946 0.7535
Pb 0.1597 0.1597 0.8493
Pb 0.5000 0.5000 0.5000
Pb 0.8403 0.8403 0.1507

## Properties
The space group is C2/m (12). The formation energy (no corrections) comes out at -0.7079 eV/atom. Its total energy is -4.250 eV per atom. Its spin magnetization is 0.0 μB per formula unit.



The following is a DFT calculation (GGA-PBE) of PmThGaPb after structural relaxation.

Unit cell a=7.6515 b=7.6515 c=7.6515 alpha=90.00 beta=90.00 gamma=90.00
Fractional coordinates of all 16 atoms:
Pm 0.0000 0.0000 0.0000
Pm 0.0000 0.5000 0.5000
Pm 0.5000 0.0000 0.5000
Pm 0.5000 0.5000 0.0000
Th 0.0000 0.0000 0.5000
Th 0.0000 0.5000 0.0000
Th 0.5000 0.0000 0.0000
Th 0.5000 0.5000 0.5000
Ga 0.2500 0.2500 0.7500
Ga 0.2500 0.7500 0.2500
Ga 0.7500 0.2500 0.2500
Ga 0.7500 0.7500 0.7500
Pb 0.2500 0.2500 0.2500
Pb 0.2500 0.7500 0.7500
Pb 0.7500 0.2500 0.7500
Pb 0.7500 0.7500 0.2500

## Properties
The calculation puts the formation energy at -0.3148 eV/atom. The space group is F-43m (216). Its total energy is -5.041 eV per atom. Its spin magnetization is 0.0 μB per formula unit.



The following is a DFT calculation (GGA-PBE) of Pr4GaPb after structural relaxation.

Unit cell a=5.2813 b=5.2813 c=7.4705 alpha=90.00 beta=90.00 gamma=90.00
Fractional coordinates of all 6 atoms:
Pr 0.0000 0.5000 0.2300
Pr 0.0000 0.5000 0.7700
Pr 0.5000 0.0000 0.2300
Pr 0.5000 0.0000 0.7700
Ga 0.0000 0.0000 0.0000
Pb 0.5000 0.5000 0.5000

## Properties
The calculation puts the formation energy at -0.2610 eV/atom. The space group is P4/mmm (123). Its total energy is -4.570 eV per atom. For the energy above the most stable polymorph in this dataset, the calculation gives 1.97 kcal/mol of atoms. Its spin magnetization is 0.0 μB per formula unit.



The following is a DFT calculation (GGA-PBE) of PrGa2Pb after structural relaxation.

Unit cell a=7.4267 b=7.4267 c=7.4267 alpha=90.00 beta=90.00 gamma=90.00
Fractional coordinates of all 16 atoms:
Pr 0.0000 0.0000 0.0000
Pr 0.0000 0.5000 0.5000
Pr 0.5000 0.0000 0.5000
Pr 0.5000 0.5000 0.0000
Ga 0.2500 0.2500 0.2500
Ga 0.2500 0.2500 0.7500
Ga 0.2500 0.7500 0.2500
Ga 0.2500 0.7500 0.7500
Ga 0.7500 0.2500 0.2500
Ga 0.7500 0.2500 0.7500
Ga 0.7500 0.7500 0.2500
Ga 0.7500 0.7500 0.7500
Pb 0.0000 0.0000 0.5000
Pb 0.0000 0.5000 0.0000
Pb 0.5000 0.0000 0.0000
Pb 0.5000 0.5000 0.5000

## Properties
The calculation puts the formation energy at -0.2415 eV/atom. The space group is Fm-3m (225). Its total energy is -3.877 eV per atom. For the energy above the most stable polymorph in this dataset, the calculation gives 4.10 kcal/mol of atoms. Its spin magnetization is 0.0 μB per formula unit.



The following is a DFT calculation (GGA-PBE) of PrGaPb after structural relaxation.

Unit cell a=4.6488 b=16.9963 c=4.2964 alpha=90.00 beta=90.00 gamma=90.00
Fractional coordinates of all 12 atoms:
Pr 0.0000 0.0902 0.2500
Pr 0.0000 0.9098 0.7500
Pr 0.5000 0.4098 0.7500
Pr 0.5000 0.5902 0.2500
Ga 0.0000 0.4549 0.2500
Ga 0.0000 0.5451 0.7500
Ga 0.5000 0.0451 0.7500
Ga 0.5000 0.9549 0.2500
Pb 0.0000 0.2678 0.7500
Pb 0.0000 0.7322 0.2500
Pb 0.5000 0.2322 0.2500
Pb 0.5000 0.7678 0.7500

## Properties
The calculation puts the formation energy at -0.3937 eV/atom. The space group is Cmcm (63). Its total energy is -4.232 eV per atom. For the energy above the most stable polymorph in this dataset, the calculation gives 2.31 kcal/mol of atoms. Its spin magnetization is 0.0 μB per formula unit.



The following is a DFT calculation (GGA-PBE) of PrGaPb2 after structural relaxation.

Unit cell a=3.5892 b=3.5892 c=33.2101 alpha=90.00 beta=90.00 gamma=120.00
Fractional coordinates of all 12 atoms:
Pr 0.0000 0.0000 0.0000
Pr 0.3333 0.6667 0.6667
Pr 0.6667 0.3333 0.3333
Ga 0.0000 0.0000 0.5000
Ga 0.3333 0.6667 0.1667
Ga 0.6667 0.3333 0.8333
Pb 0.0000 0.0000 0.0980
Pb 0.0000 0.0000 0.9020
Pb 0.3333 0.6667 0.5686
Pb 0.3333 0.6667 0.7647
Pb 0.6667 0.3333 0.2353
Pb 0.6667 0.3333 0.4314

## Properties
The calculation puts the formation energy at 0.1042 eV/atom. The space group is R-3m (166). Its total energy is -3.702 eV per atom. For the energy above the most stable polymorph in this dataset, the calculation gives 11.46 kcal/mol of atoms. Its spin magnetization is 0.0 μB per formula unit.



The following is a DFT calculation (GGA-PBE) of Pr8Ga2Pb after structural relaxation.

Unit cell a=9.2281 b=9.2281 c=8.2073 alpha=110.25 beta=110.25 gamma=31.56
Fractional coordinates of all 11 atoms:
Pr 0.0507 0.0507 0.2378
Pr 0.1687 0.1687 0.7559
Pr 0.3237 0.3237 0.5572
Pr 0.3990 0.3990 0.0457
Pr 0.6010 0.6010 0.9543
Pr 0.6763 0.6763 0.4428
Pr 0.8313 0.8313 0.2441
Pr 0.9493 0.9493 0.7622
Ga 0.2138 0.2138 0.1689
Ga 0.7862 0.7862 0.8311
Pb 0.5000 0.5000 0.5000

## Properties
The calculation puts the formation energy at -0.2971 eV/atom. The space group is C2/m (12). Its total energy is -4.661 eV per atom. Its spin magnetization is 0.0 μB per formula unit.



The following is a DFT calculation (GGA-PBE) of Pr4GaPb after structural relaxation.

Unit cell a=10.3034 b=10.3034 c=10.3034 alpha=60.00 beta=60.00 gamma=60.00
Fractional coordinates of all 24 atoms:
Pr 0.0536 0.0536 0.4464
Pr 0.0536 0.4464 0.0536
Pr 0.0536 0.4464 0.4464
Pr 0.1739 0.6087 0.6087
Pr 0.1896 0.1896 0.8104
Pr 0.1896 0.8104 0.1896
Pr 0.1896 0.8104 0.8104
Pr 0.4464 0.0536 0.0536
Pr 0.4464 0.0536 0.4464
Pr 0.4464 0.4464 0.0536
Pr 0.6087 0.1739 0.6087
Pr 0.6087 0.6087 0.1739
Pr 0.6087 0.6087 0.6087
Pr 0.8104 0.1896 0.1896
Pr 0.8104 0.1896 0.8104
Pr 0.8104 0.8104 0.1896
Ga 0.3924 0.3924 0.3924
Ga 0.3924 0.3924 0.8227
Ga 0.3924 0.8227 0.3924
Ga 0.8227 0.3924 0.3924
Pb 0.4842 0.8386 0.8386
Pb 0.8386 0.4842 0.8386
Pb 0.8386 0.8386 0.4842
Pb 0.8386 0.8386 0.8386

## Properties
The calculation puts the formation energy at -0.3465 eV/atom. The space group is F-43m (216). Its total energy is -4.655 eV per atom. For the energy above the most stable polymorph in this dataset, the calculation gives 0.00 kcal/mol of atoms. Its spin magnetization is 0.0 μB per formula unit.